(1)
! ZnRe2As PBE-GGA relaxed; values from VASP
&SYSTEM
  ibrav = 0, nat = 4, ntyp = 3
/
ATOMIC_SPECIES
Zn 65.41 Zn.upf
Re 186.21 Re.upf
As 74.92 As.upf
CELL_PARAMETERS angstrom
-1.9760 1.9760 3.8307
1.9760 -1.9760 3.8307
1.9760 1.9760 -3.8307
ATOMIC_POSITIONS crystal
Zn 0.0000 0.0000 0.0000
Re 0.5000 0.5000 0.0000
Re 0.7500 0.2500 0.5000
As 0.2500 0.7500 0.5000
! Crystal system = tetragonal
! SG = I-4m2 (119)
! Energy relative to the elements = 0.483 eV/atom

(2)
! LaMg4Hg12 PBE-GGA relaxed; values from VASP
&SYSTEM
  ibrav = 0, nat = 17, ntyp = 3
/
ATOMIC_SPECIES
La 138.91 La.upf
Mg 24.30 Mg.upf
Hg 200.59 Hg.upf
CELL_PARAMETERS angstrom
-4.8927 4.8927 4.8927
4.8927 -4.8927 4.8927
4.8927 4.8927 -4.8927
ATOMIC_POSITIONS crystal
La 0.0000 0.0000 0.0000
Mg 0.0000 0.0000 0.5000
Mg 0.0000 0.5000 0.0000
Mg 0.5000 0.0000 0.0000
Mg 0.5000 0.5000 0.5000
Hg 0.1513 0.4983 0.3470
Hg 0.1513 0.8043 0.6530
Hg 0.1957 0.3470 0.8487
Hg 0.3470 0.1513 0.4983
Hg 0.3470 0.8487 0.1957
Hg 0.4983 0.3470 0.1513
Hg 0.5017 0.6530 0.8487
Hg 0.6530 0.1513 0.8043
Hg 0.6530 0.8487 0.5017
Hg 0.8043 0.6530 0.1513
Hg 0.8487 0.1957 0.3470
Hg 0.8487 0.5017 0.6530
! Crystal system = cubic
! SG = Im-3 (204)
! Energy relative to the elements = -0.043 eV/atom

(3)
! PrTm6Se8 PBE-GGA relaxed; values from VASP
&SYSTEM
  ibrav = 0, nat = 15, ntyp = 3
/
ATOMIC_SPECIES
Pr 140.91 Pr.upf
Tm 168.93 Tm.upf
Se 78.96 Se.upf
CELL_PARAMETERS angstrom
0.0000 5.6833 5.6833
5.6833 0.0000 5.6833
5.6833 5.6833 0.0000
ATOMIC_POSITIONS crystal
Pr 0.0000 0.0000 0.0000
Tm 0.0000 0.0000 0.5000
Tm 0.0000 0.5000 0.0000
Tm 0.0000 0.5000 0.5000
Tm 0.5000 0.0000 0.0000
Tm 0.5000 0.0000 0.5000
Tm 0.5000 0.5000 0.0000
Se 0.2500 0.2500 0.2500
Se 0.2636 0.2636 0.7364
Se 0.2636 0.7364 0.2636
Se 0.2636 0.7364 0.7364
Se 0.7364 0.2636 0.2636
Se 0.7364 0.2636 0.7364
Se 0.7364 0.7364 0.2636
Se 0.7500 0.7500 0.7500
! Crystal system = cubic
! SG = Fm-3m (225)
! E_form (uncorrected) = -1764 meV per atom

Copy entry 2 word for word.
! LaMg4Hg12 PBE-GGA relaxed; values from VASP
&SYSTEM
  ibrav = 0, nat = 17, ntyp = 3
/
ATOMIC_SPECIES
La 138.91 La.upf
Mg 24.30 Mg.upf
Hg 200.59 Hg.upf
CELL_PARAMETERS angstrom
-4.8927 4.8927 4.8927
4.8927 -4.8927 4.8927
4.8927 4.8927 -4.8927
ATOMIC_POSITIONS crystal
La 0.0000 0.0000 0.0000
Mg 0.0000 0.0000 0.5000
Mg 0.0000 0.5000 0.0000
Mg 0.5000 0.0000 0.0000
Mg 0.5000 0.5000 0.5000
Hg 0.1513 0.4983 0.3470
Hg 0.1513 0.8043 0.6530
Hg 0.1957 0.3470 0.8487
Hg 0.3470 0.1513 0.4983
Hg 0.3470 0.8487 0.1957
Hg 0.4983 0.3470 0.1513
Hg 0.5017 0.6530 0.8487
Hg 0.6530 0.1513 0.8043
Hg 0.6530 0.8487 0.5017
Hg 0.8043 0.6530 0.1513
Hg 0.8487 0.1957 0.3470
Hg 0.8487 0.5017 0.6530
! Crystal system = cubic
! SG = Im-3 (204)
! Energy relative to the elements = -0.043 eV/atom